[1]
Material: TlFeTc2
Method: DFT, GGA-PBEsol
State: optimized geometry

a = 4.764 Å, b = 4.764 Å, c = 4.764 Å
α = 131.43°, β = 131.43°, γ = 71.13°
Fractional positions:
Tl 0.000 0.000 0.000
Fe 0.750 0.250 0.500
Tc 0.250 0.750 0.500
Tc 0.500 0.500 0.000

Space group   I-4m2, No. 119
ΔE to the lowest computed polymorph   159 meV per atom
Calculated formation energy   2.3 eV/f.u.
Magnetic moment   2.71 μB/cell
E_tot   -31.8 eV for the cell shown


[2]
Material: Cd2TcHg
Method: DFT, GGA-PBEsol
State: optimized geometry

a = 5.179 Å, b = 5.179 Å, c = 2.904 Å
α = 90.00°, β = 90.00°, γ = 111.88°
Fractional positions:
Cd 0.000 0.500 0.000
Cd 0.500 0.000 0.000
Tc 0.000 0.000 0.500
Hg 0.500 0.500 0.500

Space group   Cmmm, No. 65
Calculated formation energy   1.3 eV/f.u.
Magnetic moment   0.00 μB/cell
E_tot   -12.9 eV for the cell shown


[3]
Material: BOsI2
Method: DFT, GGA-PBEsol
State: optimized geometry

a = 7.130 Å, b = 7.130 Å, c = 7.130 Å
α = 133.97°, β = 133.97°, γ = 67.14°
Fractional positions:
B 0.000 0.000 0.000
B 0.750 0.250 0.500
Os 0.250 0.750 0.500
Os 0.500 0.500 0.000
I 0.106 0.625 0.981
I 0.375 0.356 0.481
I 0.644 0.125 0.019
I 0.875 0.894 0.519

Space group   I-42d, No. 122
Formation energy (no corrections)   1.638 eV/atom
Magnetic moment   0.00 μB/cell
E_tot   -32.4 eV for the cell shown


[4]
Material: Na2TiBeTe
Method: DFT, GGA-PBEsol
State: optimized geometry

a = 5.765 Å, b = 5.765 Å, c = 4.617 Å
α = 90.00°, β = 90.00°, γ = 90.00°
Fractional positions:
Na 0.000 0.500 0.000
Na 0.500 0.000 0.000
Ti 0.000 0.000 0.500
Be 0.500 0.500 0.500
Te 0.500 0.500 0.000

Space group   P4/mmm, No. 123
Formation energy (no corrections)   0.921 eV/atom
Magnetic moment   3.16 μB/cell
E_tot   -14.0 eV for the cell shown


[5]
Material: HfCoBr2
Method: DFT, GGA-PBEsol
State: optimized geometry

a = 8.653 Å, b = 8.653 Å, c = 8.653 Å
α = 21.79°, β = 21.79°, γ = 21.79°
Fractional positions:
Hf 0.000 0.000 0.000
Co 0.500 0.500 0.500
Br 0.410 0.410 0.410
Br 0.590 0.590 0.590

Space group   R-3m, No. 166
Formation energy (no corrections)   -0.047 eV/atom
Magnetic moment   1.33 μB/cell
E_tot   -22.2 eV for the cell shown


[6]
Material: HgMoSe4
Method: DFT, GGA-PBEsol
State: optimized geometry

a = 5.636 Å, b = 5.636 Å, c = 5.636 Å
α = 60.00°, β = 60.00°, γ = 60.00°
Fractional positions:
Hg 0.000 0.000 0.000
Mo 0.250 0.250 0.250
Se 0.127 0.624 0.624
Se 0.624 0.127 0.624
Se 0.624 0.624 0.127
Se 0.624 0.624 0.624

Space group   F-43m, No. 216
Formation energy (no corrections)   0.877 eV/atom
Magnetic moment   3.69 μB/cell
E_tot   -22.5 eV for the cell shown


[7]
Material: TcSb2Rh
Method: DFT, GGA-PBEsol
State: optimized geometry

a = 4.459 Å, b = 4.459 Å, c = 5.433 Å
α = 102.20°, β = 102.20°, γ = 42.08°
Fractional positions:
Tc 0.000 0.000 0.000
Sb 0.252 0.252 0.756
Sb 0.748 0.748 0.244
Rh 0.500 0.500 0.500

Space group   C2/m, No. 12
ΔE to the lowest computed polymorph   42 meV per atom
Formation energy (no corrections)   0.059 eV/atom
Magnetic moment   0.00 μB/cell
E_tot   -28.3 eV for the cell shown


[8]
Material: Fe4IrRh
Method: DFT, GGA-PBEsol
State: optimized geometry

a = 4.625 Å, b = 4.625 Å, c = 4.625 Å
α = 60.00°, β = 60.00°, γ = 60.00°
Fractional positions:
Fe 0.125 0.125 0.125
Fe 0.125 0.125 0.625
Fe 0.125 0.625 0.125
Fe 0.625 0.125 0.125
Ir 0.500 0.500 0.500
Rh 0.750 0.750 0.750

Space group   F-43m, No. 216
Calculated formation energy   0.3 eV/f.u.
Magnetic moment   8.18 μB/cell
E_tot   -53.5 eV for the cell shown